Density functional theory data (PBE) for a geometry-optimized KTaPb3 structure.

Cell lengths 5.647, 5.647, 5.647 Å; angles 90.00, 90.00, 90.00 degrees
Space group Pm-3m (No. 221)
Asymmetric unit:
1 K 0.000 0.000 0.000 x1
2 Ta 0.500 0.500 0.500 x1
3 Pb 0.000 0.000 0.500 x3

Calculated volume ... 180 Å³/cell
E ... -2.864 eV per atom
Excess energy over the best structure of this formula in the dataset ... 1744.9 meV per atom
Formation energy from the elements ... 9.75 eV per formula unit
DOS at the Fermi energy ... 3.95 states/eV/f.u.